Density functional theory data (GGA-PBE) for a relaxed structure of La5Pm2Mg.

Summary:
Spin magnetization: 0.00 μB per atom
Formation energy: 0.0 eV/f.u.
V: 34.80 Å³ per atom

abc: 7.395 11.718 7.413
angles: 90.00 119.92 90.00
Space group Cm (No. 8)
Asymmetric unit:
La (0.000, 0.000, 0.000) x2
La (0.001, 0.000, 0.473) x2
La (0.032, 0.500, 0.001) x2
La (0.349, 0.250, 0.667) x4
Pm (0.351, 0.239, 0.171) x4
Mg (0.013, 0.500, 0.495) x2